1.
This record from the Alexandria database describes a relaxed Sc2PaS5 crystal. The functional is PBE.

Output
The calculation puts the density of states at the Fermi level at 0.696 states/eV per atom. The formation energy (no corrections) comes out at -13.88 eV per formula unit. The crystal system is orthorhombic. The value obtained for the total energy is -7.084 eV/atom.

Structure (CIF):
```
data_Sc2PaS5
_symmetry_space_group_name_H-M 'C m c m'
_symmetry_Int_Tables_number 63
_symmetry_space_group_name_Hall '-C 2c 2'
_cell_length_a 5.176
_cell_length_b 12.296
_cell_length_c 12.742
_cell_angle_alpha 90.00
_cell_angle_beta 90.00
_cell_angle_gamma 90.00
loop_
_atom_site_label
_atom_site_type_symbol
_atom_site_fract_x
_atom_site_fract_y
_atom_site_fract_z
Sc1 Sc 0.000 0.147 0.051
Pa1 Pa 0.000 0.211 0.750
S1 S 0.000 0.046 0.620
S2 S 0.000 0.229 0.250
S3 S 0.000 0.324 0.564
```


2.
This record from the Alexandria database describes a relaxed Tb12PrEr6 crystal. The functional is PBE.

Output
The calculation puts the density of states at the Fermi level at 1.746 states/eV per atom. Its offset from the most stable computed form is 0.0 meV/atom. The crystal system is trigonal. The value obtained for the total energy is -4.465 eV/atom.

Structure (CIF):
```
data_Tb12PrEr6
_symmetry_space_group_name_H-M 'R -3'
_symmetry_Int_Tables_number 148
_symmetry_space_group_name_Hall '-R 3'
_cell_length_a 11.8971
_cell_length_b 11.8971
_cell_length_c 15.1201
_cell_angle_alpha 90.00
_cell_angle_beta 90.00
_cell_angle_gamma 120.00
loop_
_atom_site_label
_atom_site_type_symbol
_atom_site_fract_x
_atom_site_fract_y
_atom_site_fract_z
Tb1 Tb 0.0141 0.8337 0.1917
Tb2 Tb 0.0420 0.8504 0.4162
Pr1 Pr 0.0000 0.0000 0.0000
Er1 Er 0.0095 0.4234 0.6811
```


3.
This record from the Alexandria database describes a relaxed BaHfPa4N8 crystal. The functional is PBE.

Output
The calculation puts the density of states at the Fermi level at 0.520 states/eV per atom. The formation energy (no corrections) comes out at -20.38 eV per formula unit. The crystal system is trigonal. The value obtained for the total energy is -9.775 eV/atom.

Structure (CIF):
```
data_BaHfPa4N8
_symmetry_space_group_name_H-M 'R 3 m'
_symmetry_Int_Tables_number 160
_symmetry_space_group_name_Hall 'R 3 -2"'
_cell_length_a 7.1255
_cell_length_b 7.1255
_cell_length_c 16.5524
_cell_angle_alpha 90.00
_cell_angle_beta 90.00
_cell_angle_gamma 120.00
loop_
_atom_site_label
_atom_site_type_symbol
_atom_site_fract_x
_atom_site_fract_y
_atom_site_fract_z
Ba1 Ba 0.0000 0.0000 0.0000
Hf1 Hf 0.0000 0.0000 0.6238
Pa1 Pa 0.0000 0.0000 0.2429
Pa2 Pa 0.1694 0.3388 0.4523
N1 N 0.0000 0.0000 0.3794
N2 N 0.0000 0.0000 0.8448
N3 N 0.0724 0.5362 0.3763
N4 N 0.1821 0.3641 0.1995
```


4.
This record from the Alexandria database describes a relaxed BaPa2Ni2S6 crystal. The functional is PBE.

Output
The formation energy (no corrections) comes out at -14.65 eV per formula unit. The crystal system is triclinic. The value obtained for the total energy is -6.535 eV/atom.

Structure (CIF):
```
data_BaPa2Ni2S6
_symmetry_space_group_name_H-M 'P -1'
_symmetry_Int_Tables_number 2
_symmetry_space_group_name_Hall '-P 1'
_cell_length_a 6.984
_cell_length_b 7.042
_cell_length_c 7.312
_cell_angle_alpha 91.31
_cell_angle_beta 117.19
_cell_angle_gamma 118.41
loop_
_atom_site_label
_atom_site_type_symbol
_atom_site_fract_x
_atom_site_fract_y
_atom_site_fract_z
Ba1 Ba 0.000 0.000 0.000
Pa1 Pa 0.339 0.332 0.670
Ni1 Ni 0.123 0.694 0.660
S1 S 0.162 0.910 0.451
S2 S 0.212 0.459 0.311
S3 S 0.449 0.702 0.928
```


5.
This record from the Alexandria database describes a relaxed Dy8ZnNi2 crystal. The functional is PBE.

Output
The calculation puts the density of states at the Fermi level at 1.057 states/eV per atom. Its offset from the most stable computed form is 0.0 meV/atom. The crystal system is monoclinic. The value obtained for the total energy is -4.719 eV/atom.

Structure (CIF):
```
data_Dy8ZnNi2
_symmetry_space_group_name_H-M 'C 1 2/m 1'
_symmetry_Int_Tables_number 12
_symmetry_space_group_name_Hall '-C 2y'
_cell_length_a 17.499
_cell_length_b 5.034
_cell_length_c 6.688
_cell_angle_alpha 90.00
_cell_angle_beta 107.92
_cell_angle_gamma 90.00
loop_
_atom_site_label
_atom_site_type_symbol
_atom_site_fract_x
_atom_site_fract_y
_atom_site_fract_z
Dy1 Dy 0.036 0.000 0.283
Dy2 Dy 0.095 0.500 0.973
Dy3 Dy 0.177 0.500 0.492
Dy4 Dy 0.198 0.000 0.836
Zn1 Zn 0.000 0.500 0.500
Ni1 Ni 0.178 0.000 0.221
```


6.
This record from the Alexandria database describes a relaxed Zr2Zn12Au crystal. The functional is PBE.

Output
The calculation puts the density of states at the Fermi level at 0.535 states/eV per atom. The crystal system is tetragonal. The value obtained for the total energy is -2.453 eV/atom.

Structure (CIF):
```
data_Zr2Zn12Au
_symmetry_space_group_name_H-M 'P 4/n b m'
_symmetry_Int_Tables_number 125
_cell_length_a 5.557
_cell_length_b 5.557
_cell_length_c 16.518
_cell_angle_alpha 90.00
_cell_angle_beta 90.00
_cell_angle_gamma 90.00
loop_
_symmetry_equiv_pos_as_xyz
'x,y,z'
'-x,-y,-z'
'-y+1/2,x,z'
'y+1/2,-x,-z'
'-x+1/2,-y+1/2,z'
'x+1/2,y+1/2,-z'
'y,-x+1/2,z'
'-y,x+1/2,-z'
'x,-y+1/2,-z'
'-x,y+1/2,z'
'-y+1/2,-x+1/2,-z'
'y+1/2,x+1/2,z'
'-x+1/2,y,-z'
'x+1/2,-y,z'
'y,x,-z'
'-y,-x,z'
loop_
_atom_site_label
_atom_site_type_symbol
_atom_site_fract_x
_atom_site_fract_y
_atom_site_fract_z
Zr1 Zr 0.250 0.750 0.245
Zn1 Zn 0.000 0.000 0.394
Zn2 Zn 0.084 0.584 0.068
Zn3 Zn 0.250 0.250 0.158
Zn4 Zn 0.250 0.250 0.299
Au1 Au 0.250 0.750 0.500
```


7.
This record from the Alexandria database describes a relaxed Ba2Ge7Rh12 crystal. The functional is PBE.

Output
The calculation puts the density of states at the Fermi level at 0.506 states/eV per atom. The crystal system is hexagonal. The value obtained for the total energy is -6.472 eV/atom.

Structure (CIF):
```
data_Ba2Ge7Rh12
_symmetry_space_group_name_H-M 'P -6'
_symmetry_Int_Tables_number 174
_symmetry_space_group_name_Hall 'P -6'
_cell_length_a 10.1101
_cell_length_b 10.1101
_cell_length_c 4.0062
_cell_angle_alpha 90.00
_cell_angle_beta 90.00
_cell_angle_gamma 120.00
loop_
_atom_site_label
_atom_site_type_symbol
_atom_site_fract_x
_atom_site_fract_y
_atom_site_fract_z
Ba1 Ba 0.0000 0.0000 0.0000
Ba2 Ba 0.3333 0.6667 0.5000
Ge1 Ge 0.0569 0.4405 0.0000
Ge2 Ge 0.2758 0.2367 0.5000
Ge3 Ge 0.6667 0.3333 0.0000
Rh1 Rh 0.0471 0.2807 0.5000
Rh2 Rh 0.1075 0.7138 0.0000
Rh3 Rh 0.3937 0.1865 0.0000
Rh4 Rh 0.5493 0.4359 0.5000
```


8.
This record from the Alexandria database describes a relaxed CsMnTl3 crystal. The functional is PBE.

Output
The calculation puts the density of states at the Fermi level at 0.579 states/eV per atom. The crystal system is cubic. The value obtained for the total energy is -3.246 eV/atom.

Structure (CIF):
```
data_CsMnTl3
_symmetry_space_group_name_H-M 'P m -3 m'
_symmetry_Int_Tables_number 221
_symmetry_space_group_name_Hall '-P 4 2 3'
_cell_length_a 5.403
_cell_length_b 5.403
_cell_length_c 5.403
_cell_angle_alpha 90.00
_cell_angle_beta 90.00
_cell_angle_gamma 90.00
loop_
_atom_site_label
_atom_site_type_symbol
_atom_site_fract_x
_atom_site_fract_y
_atom_site_fract_z
Cs1 Cs 0.000 0.000 0.000
Mn1 Mn 0.500 0.500 0.500
Tl1 Tl 0.000 0.500 0.500
```


9.
This record from the Alexandria database describes a relaxed LaInNiSn2 crystal. The functional is PBE.

Output
The calculation puts the density of states at the Fermi level at 0.556 states/eV per atom. The crystal system is tetragonal. The value obtained for the total energy is -4.626 eV/atom.

Structure (CIF):
```
data_LaInNiSn2
_symmetry_space_group_name_H-M 'P 4 m m'
_symmetry_Int_Tables_number 99
_symmetry_space_group_name_Hall 'P 4 -2'
_cell_length_a 4.951
_cell_length_b 4.951
_cell_length_c 5.394
_cell_angle_alpha 90.00
_cell_angle_beta 90.00
_cell_angle_gamma 90.00
loop_
_atom_site_label
_atom_site_type_symbol
_atom_site_fract_x
_atom_site_fract_y
_atom_site_fract_z
La1 La 0.000 0.000 0.000
In1 In 0.500 0.500 0.048
Ni1 Ni 0.000 0.000 0.535
Sn1 Sn 0.000 0.500 0.458
```


10.
This record from the Alexandria database describes a relaxed Ca2EuI crystal. The functional is PBE.

Output
The calculation puts the density of states at the Fermi level at 2.119 states/eV per atom. The formation energy (no corrections) comes out at -2.08 eV per formula unit. Its offset from the most stable computed form is 0.0 meV/atom. The crystal system is trigonal. The value obtained for the total energy is -4.477 eV/atom.

Structure (CIF):
```
data_Ca2EuI
_symmetry_space_group_name_H-M 'R -3 m'
_symmetry_Int_Tables_number 166
_symmetry_space_group_name_Hall '-R 3 2"'
_cell_length_a 4.0228
_cell_length_b 4.0228
_cell_length_c 33.5782
_cell_angle_alpha 90.00
_cell_angle_beta 90.00
_cell_angle_gamma 120.00
loop_
_atom_site_label
_atom_site_type_symbol
_atom_site_fract_x
_atom_site_fract_y
_atom_site_fract_z
Ca1 Ca 0.0000 0.0000 0.2398
Eu1 Eu 0.0000 0.0000 0.0000
I1 I 0.0000 0.0000 0.5000
```


11.
This record from the Alexandria database describes a relaxed TaFe2Tc crystal. The functional is PBE.

Output
The calculation puts the density of states at the Fermi level at 1.088 states/eV per atom. Its offset from the most stable computed form is 55.2 meV/atom. The crystal system is cubic. The value obtained for the total energy is -9.809 eV/atom.

Structure (CIF):
```
data_TaFe2Tc
_symmetry_space_group_name_H-M 'F -4 3 m'
_symmetry_Int_Tables_number 216
_symmetry_space_group_name_Hall 'F -4 2 3'
_cell_length_a 6.075
_cell_length_b 6.075
_cell_length_c 6.075
_cell_angle_alpha 90.00
_cell_angle_beta 90.00
_cell_angle_gamma 90.00
loop_
_atom_site_label
_atom_site_type_symbol
_atom_site_fract_x
_atom_site_fract_y
_atom_site_fract_z
Ta1 Ta 0.000 0.000 0.000
Fe1 Fe 0.000 0.000 0.500
Fe2 Fe 0.250 0.250 0.750
Tc1 Tc 0.250 0.250 0.250
```


12.
This record from the Alexandria database describes a relaxed Tl2GaPdBr crystal. The functional is PBE.

Output
The calculation puts the density of states at the Fermi level at 0.271 states/eV per atom. The formation energy (no corrections) comes out at -1.90 eV per formula unit. The crystal system is tetragonal. The value obtained for the total energy is -3.304 eV/atom.

Structure (CIF):
```
data_Tl2GaPdBr
_symmetry_space_group_name_H-M 'P 4/m m m'
_symmetry_Int_Tables_number 123
_symmetry_space_group_name_Hall '-P 4 2'
_cell_length_a 5.437
_cell_length_b 5.437
_cell_length_c 4.868
_cell_angle_alpha 90.00
_cell_angle_beta 90.00
_cell_angle_gamma 90.00
loop_
_atom_site_label
_atom_site_type_symbol
_atom_site_fract_x
_atom_site_fract_y
_atom_site_fract_z
Tl1 Tl 0.000 0.500 0.000
Ga1 Ga 0.000 0.000 0.500
Pd1 Pd 0.000 0.000 0.000
Br1 Br 0.500 0.500 0.500
```